# 1
Computed, not measured: LaZn3Ni after structural relaxation at the PBE-GGA level of DFT.

Values from the calculation:
Symmetry: Cmcm (63)
Energy of formation: -0.30 eV/atom
Final energy: -3.21 eV/atom
Excess energy over the best structure of this formula in the dataset: 14 meV/atom
Density: 7.079 g/cm3

Cell: 5.2023 6.1387 6.5493 Å, 117.95 90.00 90.00°
Closest atoms and distances in Å follow each position.
Positions (direct):
La  0.2500  0.3790  0.7581  12 Zn 3.10-3.41
La  0.7500  0.6210  0.2419  12 Zn 3.10-3.41
Zn  0.2500  0.8114  0.6229  2 Ni 2.54, 2 Zn 2.66
Zn  0.7500  0.1886  0.3771  2 Ni 2.54, 2 Zn 2.66
Zn  0.2500  0.3599  0.2649  2 Ni 2.45, 1 Zn 2.66
Zn  0.7500  0.6401  0.7351  2 Ni 2.45, 1 Zn 2.66
Zn  0.2500  0.9050  0.2649  2 Ni 2.45, 1 Zn 2.66
Zn  0.7500  0.0950  0.7351  2 Ni 2.45, 1 Zn 2.66
Ni  0.0000  0.0000  0.0000  6 Zn 2.45-2.54, 2 Ni 2.60
Ni  0.5000  0.0000  0.0000  6 Zn 2.45-2.54, 2 Ni 2.60

=====

# 2
Computed, not measured: AlRhS2N after structural relaxation at the PBE-GGA level of DFT.

Values from the calculation:
Symmetry: P4/mmm (123)
Final energy: -4.97 eV/atom
Excess energy over the best structure of this formula in the dataset: 156 meV/atom
Density: 4.513 g/cm3

Cell: 4.6606 4.6606 3.5235 Å, 90.00 90.00 90.00°
Closest atoms and distances in Å follow each position.
Positions (direct):
S  0.0000  0.5000  0.0000  2 Al 2.33
S  0.5000  0.0000  0.0000  2 Al 2.33
Rh  0.5000  0.5000  0.5000  8 S 2.92
Al  0.0000  0.0000  0.0000  2 N 1.76
N  0.0000  0.0000  0.5000  2 Al 1.76

=====

# 3
Computed, not measured: In5Hg2Pb4 after structural relaxation at the PBE-GGA level of DFT.

Values from the calculation:
Symmetry: P2/m (10)
Energy of formation: 0.03 eV/atom
Final energy: -2.62 eV/atom
Density: 9.469 g/cm3

Cell: 3.4147 8.1547 11.4048 Å, 84.99 90.00 90.00°
Closest atoms and distances in Å follow each position.
Positions (direct):
In  0.0000  0.4223  0.2886  1 Hg 3.07, 4 In 3.18-3.41
In  0.0000  0.7917  0.1735  1 Hg 3.14, 4 In 3.18-3.41, 2 Pb 3.45
In  0.0000  0.5000  0.0000  6 In 3.22-3.41, 4 Pb 3.41
In  0.0000  0.2083  0.8265  1 Hg 3.14, 4 In 3.18-3.41, 2 Pb 3.45
In  0.0000  0.5777  0.7114  1 Hg 3.07, 4 In 3.18-3.41
Hg  0.0000  0.9494  0.6385  2 In 3.07-3.14, 3 Hg 3.19-3.41, 2 Pb 3.38
Hg  0.0000  0.0506  0.3615  2 In 3.07-3.14, 3 Hg 3.19-3.41, 2 Pb 3.38
Pb  0.5000  0.2944  0.5473  4 Hg 3.38-3.48, 3 Pb 3.41-3.43, 6 In 3.49-3.63
Pb  0.5000  0.8472  0.9015  8 In 3.41-3.64, 3 Pb 3.41-3.50, 2 Hg 3.49
Pb  0.5000  0.7056  0.4527  4 Hg 3.38-3.48, 3 Pb 3.41-3.43, 6 In 3.49-3.63
Pb  0.5000  0.1528  0.0985  8 In 3.41-3.64, 3 Pb 3.41-3.50, 2 Hg 3.49